No. 1
# Na2NbZnIn PBEsol relaxed
data_Na2NbZnIn
_chemical_formula_sum 'Na2 Nb1 Zn1 In1'
_cell_length_a 4.7971
_cell_length_b 4.7971
_cell_length_c 5.1123
_cell_angle_alpha 90.00
_cell_angle_beta 90.00
_cell_angle_gamma 90.00
_symmetry_space_group_name_H-M 'P 4/m m m'
_symmetry_Int_Tables_number 123
_symmetry_space_group_name_Hall '-P 4 2'
loop_
_atom_site_label
_atom_site_type_symbol
_atom_site_fract_x
_atom_site_fract_y
_atom_site_fract_z
Na1 Na 0.0000 0.5000 0.0000
Nb1 Nb 0.0000 0.0000 0.5000
Zn1 Zn 0.0000 0.0000 0.0000
In1 In 0.5000 0.5000 0.5000
# energy relative to the elements = 0.791 eV per atom
# mass density = 4504 kg/m3

=====

No. 2
# NaIn2Ni2 PBEsol relaxed
data_NaIn2Ni2
_chemical_formula_sum 'Na2 In4 Ni4'
_cell_length_a 7.5188
_cell_length_b 7.5188
_cell_length_c 2.9375
_cell_angle_alpha 90.00
_cell_angle_beta 90.00
_cell_angle_gamma 90.00
_symmetry_space_group_name_H-M 'P 4/m b m'
_symmetry_Int_Tables_number 127
_symmetry_space_group_name_Hall '-P 4 2ab'
loop_
_atom_site_label
_atom_site_type_symbol
_atom_site_fract_x
_atom_site_fract_y
_atom_site_fract_z
Na1 Na 0.0000 0.0000 0.0000
In1 In 0.1645 0.3355 0.5000
Ni1 Ni 0.1288 0.6288 0.0000
# energy relative to the elements = -0.090 eV per atom
# mass density = 7400 kg/m3

=====

No. 3
# Na22In5O15 PBEsol relaxed
data_Na22In5O15
_chemical_formula_sum 'Na44 In10 O30'
_cell_length_a 11.0811
_cell_length_b 15.6908
_cell_length_c 9.5280
_cell_angle_alpha 90.00
_cell_angle_beta 125.11
_cell_angle_gamma 90.00
_symmetry_space_group_name_H-M 'C 1 m 1'
_symmetry_Int_Tables_number 8
_symmetry_space_group_name_Hall 'C -2y'
loop_
_atom_site_label
_atom_site_type_symbol
_atom_site_fract_x
_atom_site_fract_y
_atom_site_fract_z
Na1 Na 0.0000 0.0000 0.0000
Na2 Na 0.0003 0.5000 0.5348
Na3 Na 0.0215 0.3831 0.7978
Na4 Na 0.0619 0.1485 0.2246
Na5 Na 0.1082 0.3493 0.3097
Na6 Na 0.1990 0.2210 0.5746
Na7 Na 0.2238 0.2697 0.0657
Na8 Na 0.2608 0.5000 0.0435
Na9 Na 0.2662 0.5000 0.5646
Na10 Na 0.3039 0.3612 0.8034
Na11 Na 0.3265 0.1063 0.2219
Na12 Na 0.3852 0.3921 0.3514
Na13 Na 0.4233 0.2262 0.5036
In1 In 0.0094 0.5000 0.0765
In2 In 0.0643 0.1435 0.7754
In3 In 0.2029 0.0000 0.4863
In4 In 0.2195 0.0000 0.7909
O1 O 0.0126 0.5000 0.3020
O2 O 0.0800 0.1372 0.0048
O3 O 0.1385 0.2656 0.7731
O4 O 0.1438 0.3977 0.1025
O5 O 0.2257 0.5000 0.7877
O6 O 0.3138 0.1061 0.4831
O7 O 0.3366 0.3479 0.5724
O8 O 0.4636 0.2557 0.3078
O9 O 0.4957 0.5000 0.2586
# mass density = 3234 kg/m3
# raw formation energy = -1.238 eV per atom

=====

No. 4
# Na3In2P3O12 PBEsol relaxed
data_Na3In2P3O12
_chemical_formula_sum 'Na12 In8 P12 O48'
_cell_length_a 12.4689
_cell_length_b 12.7994
_cell_length_c 6.6203
_cell_angle_alpha 90.00
_cell_angle_beta 114.13
_cell_angle_gamma 90.00
_symmetry_space_group_name_H-M 'C 1 2/c 1'
_symmetry_Int_Tables_number 15
_symmetry_space_group_name_Hall '-C 2yc'
loop_
_atom_site_label
_atom_site_type_symbol
_atom_site_fract_x
_atom_site_fract_y
_atom_site_fract_z
Na1 Na 0.0000 0.0000 0.0000
Na2 Na 0.0000 0.2241 0.2500
Na3 Na 0.0000 0.4823 0.7500
In1 In 0.2273 0.3438 0.1553
P1 P 0.0000 0.2259 0.7500
P2 P 0.2392 0.3981 0.6338
O1 O 0.0503 0.2969 0.9571
O2 O 0.0892 0.1505 0.7176
O3 O 0.1356 0.0766 0.3307
O4 O 0.1645 0.4985 0.6218
O5 O 0.1707 0.3364 0.4162
O6 O 0.2364 0.3286 0.8279
# mass density = 4020 kg/m3
# raw formation energy = -2.156 eV per atom

=====

No. 5
# Na3InP2O8 PBEsol relaxed
data_Na3InP2O8
_chemical_formula_sum 'Na6 In2 P4 O16'
_cell_length_a 8.6700
_cell_length_b 5.4676
_cell_length_c 7.0463
_cell_angle_alpha 90.00
_cell_angle_beta 90.17
_cell_angle_gamma 90.00
_symmetry_space_group_name_H-M 'C 1 2/m 1'
_symmetry_Int_Tables_number 12
_symmetry_space_group_name_Hall '-C 2y'
loop_
_atom_site_label
_atom_site_type_symbol
_atom_site_fract_x
_atom_site_fract_y
_atom_site_fract_z
Na1 Na 0.0000 0.0000 0.0000
Na2 Na 0.1890 0.5000 0.2148
In1 In 0.0000 0.0000 0.5000
P1 P 0.1536 0.5000 0.7220
O1 O 0.0453 0.2692 0.7212
O2 O 0.2449 0.0000 0.4580
O3 O 0.2492 0.0000 0.0987
# mass density = 3716 kg/m3
# raw formation energy = -2.177 eV per atom

=====

No. 6
# Rb2Na3InO4 PBEsol relaxed
data_Rb2Na3InO4
_chemical_formula_sum 'Rb8 Na12 In4 O16'
_cell_length_a 9.5916
_cell_length_b 9.7368
_cell_length_c 7.4595
_cell_angle_alpha 90.00
_cell_angle_beta 90.00
_cell_angle_gamma 90.00
_symmetry_space_group_name_H-M 'P n n m'
_symmetry_Int_Tables_number 58
_symmetry_space_group_name_Hall '-P 2 2n'
loop_
_atom_site_label
_atom_site_type_symbol
_atom_site_fract_x
_atom_site_fract_y
_atom_site_fract_z
Rb1 Rb 0.0000 0.0000 0.2450
Rb2 Rb 0.2306 0.2413 0.5000
Na1 Na 0.0182 0.6474 0.2470
Na2 Na 0.2350 0.5812 0.5000
In1 In 0.2249 0.3726 0.0000
O1 O 0.0640 0.2245 0.0000
O2 O 0.0795 0.7759 0.5000
O3 O 0.1941 0.4823 0.2347
# mass density = 3992 kg/m3
# raw formation energy = -1.370 eV per atom

=====

No. 7
# Na4Sc3InSi8O24 PBEsol relaxed
data_Na4Sc3InSi8O24
_chemical_formula_sum 'Na4 Sc3 In1 Si8 O24'
_cell_length_a 5.3729
_cell_length_b 9.0785
_cell_length_c 9.7644
_cell_angle_alpha 90.00
_cell_angle_beta 104.40
_cell_angle_gamma 90.00
_symmetry_space_group_name_H-M 'P 1 2 1'
_symmetry_Int_Tables_number 3
_symmetry_space_group_name_Hall 'P 2y'
loop_
_atom_site_label
_atom_site_type_symbol
_atom_site_fract_x
_atom_site_fract_y
_atom_site_fract_z
Na1 Na 0.0000 0.0000 0.0000
Na2 Na 0.0000 0.1012 0.5000
Na3 Na 0.5000 0.5011 0.5000
Na4 Na 0.5000 0.6065 0.0000
Sc1 Sc 0.0000 0.4086 0.0000
Sc2 Sc 0.0000 0.6977 0.5000
Sc3 Sc 0.5000 0.9051 0.5000
In1 In 0.5000 0.1993 0.0000
Si1 Si 0.2027 0.7149 0.2095
Si2 Si 0.2037 0.3895 0.7082
Si3 Si 0.2947 0.2139 0.2915
Si4 Si 0.2964 0.8889 0.7895
O1 O 0.0781 0.3078 0.3516
O2 O 0.0829 0.7922 0.8503
O3 O 0.1967 0.5506 0.6392
O4 O 0.1988 0.5538 0.1401
O5 O 0.2135 0.2229 0.1184
O6 O 0.2225 0.8788 0.6168
O7 O 0.2764 0.3853 0.8817
O8 O 0.2777 0.7226 0.3823
O9 O 0.2878 0.0512 0.8531
O10 O 0.3048 0.0526 0.3607
O11 O 0.4177 0.8112 0.1495
O12 O 0.4230 0.2957 0.6507
# mass density = 3421 kg/m3
# raw formation energy = -2.803 eV per atom

=====

No. 8
# NaInTe2O6 PBEsol relaxed
data_NaInTe2O6
_chemical_formula_sum 'Na8 In8 Te16 O48'
_cell_length_a 8.0596
_cell_length_b 13.6116
_cell_length_c 10.7629
_cell_angle_alpha 90.00
_cell_angle_beta 90.00
_cell_angle_gamma 90.00
_symmetry_space_group_name_H-M 'P b c a'
_symmetry_Int_Tables_number 61
_symmetry_space_group_name_Hall '-P 2ac 2ab'
loop_
_atom_site_label
_atom_site_type_symbol
_atom_site_fract_x
_atom_site_fract_y
_atom_site_fract_z
Na1 Na 0.1142 0.1383 0.2346
In1 In 0.2095 0.0148 0.4980
Te1 Te 0.0385 0.0855 0.7780
Te2 Te 0.1447 0.7457 0.4846
O1 O 0.0020 0.5136 0.8732
O2 O 0.0877 0.7311 0.8185
O3 O 0.1020 0.5329 0.3639
O4 O 0.1571 0.1703 0.4530
O5 O 0.1887 0.5626 0.6714
O6 O 0.2351 0.1384 0.0265
# mass density = 5502 kg/m3
# raw formation energy = -1.341 eV per atom

=====

No. 9
# NaIn2OsRh PBEsol relaxed
data_NaIn2OsRh
_chemical_formula_sum 'Na1 In2 Os1 Rh1'
_cell_length_a 5.1144
_cell_length_b 5.1144
_cell_length_c 4.7510
_cell_angle_alpha 90.00
_cell_angle_beta 90.00
_cell_angle_gamma 90.00
_symmetry_space_group_name_H-M 'P 4/m m m'
_symmetry_Int_Tables_number 123
_symmetry_space_group_name_Hall '-P 4 2'
loop_
_atom_site_label
_atom_site_type_symbol
_atom_site_fract_x
_atom_site_fract_y
_atom_site_fract_z
Na1 Na 0.0000 0.0000 0.0000
In1 In 0.0000 0.5000 0.5000
Os1 Os 0.5000 0.5000 0.5000
Rh1 Rh 0.5000 0.5000 0.0000
# energy relative to the elements = 0.564 eV per atom
# mass density = 7293 kg/m3

=====

No. 10
# NaIn2PRh PBEsol relaxed
data_NaIn2PRh
_chemical_formula_sum 'Na1 In2 P1 Rh1'
_cell_length_a 4.9692
_cell_length_b 4.9692
_cell_length_c 4.7943
_cell_angle_alpha 90.00
_cell_angle_beta 90.00
_cell_angle_gamma 90.00
_symmetry_space_group_name_H-M 'P 4/m m m'
_symmetry_Int_Tables_number 123
_symmetry_space_group_name_Hall '-P 4 2'
loop_
_atom_site_label
_atom_site_type_symbol
_atom_site_fract_x
_atom_site_fract_y
_atom_site_fract_z
Na1 Na 0.0000 0.0000 0.0000
In1 In 0.0000 0.5000 0.5000
P1 P 0.0000 0.0000 0.5000
Rh1 Rh 0.5000 0.5000 0.0000
# energy relative to the elements = 0.745 eV per atom
# mass density = 5421 kg/m3

=====

No. 11
# Na2InPb PBEsol relaxed
data_Na2InPb
_chemical_formula_sum 'Na8 In4 Pb4'
_cell_length_a 7.4576
_cell_length_b 7.4576
_cell_length_c 7.4576
_cell_angle_alpha 90.00
_cell_angle_beta 90.00
_cell_angle_gamma 90.00
_symmetry_space_group_name_H-M 'F m -3 m'
_symmetry_Int_Tables_number 225
_symmetry_space_group_name_Hall '-F 4 2 3'
loop_
_atom_site_label
_atom_site_type_symbol
_atom_site_fract_x
_atom_site_fract_y
_atom_site_fract_z
Na1 Na 0.2500 0.2500 0.2500
In1 In 0.0000 0.0000 0.0000
Pb1 Pb 0.0000 0.0000 0.5000
# energy relative to the elements = -0.080 eV per atom
# mass density = 5893 kg/m3

=====

No. 12
# Na3InPb PBEsol relaxed
data_Na3InPb
_chemical_formula_sum 'Na3 In1 Pb1'
_cell_length_a 5.7973
_cell_length_b 5.7973
_cell_length_c 5.7973
_cell_angle_alpha 90.00
_cell_angle_beta 90.00
_cell_angle_gamma 90.00
_symmetry_space_group_name_H-M 'P m -3 m'
_symmetry_Int_Tables_number 221
_symmetry_space_group_name_Hall '-P 4 2 3'
loop_
_atom_site_label
_atom_site_type_symbol
_atom_site_fract_x
_atom_site_fract_y
_atom_site_fract_z
Na1 Na 0.0000 0.0000 0.5000
In1 In 0.5000 0.5000 0.5000
Pb1 Pb 0.0000 0.0000 0.0000
# energy relative to the elements = 0.266 eV per atom
# mass density = 3332 kg/m3

=====

No. 13
# NaIn2PdPb PBEsol relaxed
data_NaIn2PdPb
_chemical_formula_sum 'Na1 In2 Pd1 Pb1'
_cell_length_a 5.1233
_cell_length_b 5.1233
_cell_length_c 5.4070
_cell_angle_alpha 90.00
_cell_angle_beta 90.00
_cell_angle_gamma 90.00
_symmetry_space_group_name_H-M 'P 4/m m m'
_symmetry_Int_Tables_number 123
_symmetry_space_group_name_Hall '-P 4 2'
loop_
_atom_site_label
_atom_site_type_symbol
_atom_site_fract_x
_atom_site_fract_y
_atom_site_fract_z
Na1 Na 0.0000 0.0000 0.0000
In1 In 0.0000 0.5000 0.5000
Pd1 Pd 0.5000 0.5000 0.5000
Pb1 Pb 0.5000 0.5000 0.0000
# energy relative to the elements = -0.060 eV per atom
# mass density = 6625 kg/m3

=====

No. 14
# Na2InPd2 PBEsol relaxed
data_Na2InPd2
_chemical_formula_sum 'Na4 In2 Pd4'
_cell_length_a 6.6809
_cell_length_b 6.6809
_cell_length_c 4.6942
_cell_angle_alpha 90.00
_cell_angle_beta 90.00
_cell_angle_gamma 90.00
_symmetry_space_group_name_H-M 'P 4/m b m'
_symmetry_Int_Tables_number 127
_symmetry_space_group_name_Hall '-P 4 2ab'
loop_
_atom_site_label
_atom_site_type_symbol
_atom_site_fract_x
_atom_site_fract_y
_atom_site_fract_z
Na1 Na 0.1666 0.3334 0.0000
In1 In 0.0000 0.0000 0.5000
Pd1 Pd 0.1371 0.6371 0.5000
# energy relative to the elements = -0.203 eV per atom
# mass density = 5922 kg/m3

=====

No. 15
# NaIn2Pd2 PBEsol relaxed
data_NaIn2Pd2
_chemical_formula_sum 'Na2 In4 Pd4'
_cell_length_a 7.9292
_cell_length_b 7.9292
_cell_length_c 2.9983
_cell_angle_alpha 90.00
_cell_angle_beta 90.00
_cell_angle_gamma 90.00
_symmetry_space_group_name_H-M 'P 4/m b m'
_symmetry_Int_Tables_number 127
_symmetry_space_group_name_Hall '-P 4 2ab'
loop_
_atom_site_label
_atom_site_type_symbol
_atom_site_fract_x
_atom_site_fract_y
_atom_site_fract_z
Na1 Na 0.0000 0.0000 0.0000
In1 In 0.1402 0.3598 0.0000
Pd1 Pd 0.1566 0.6566 0.5000
# energy relative to the elements = -0.438 eV per atom
# mass density = 8200 kg/m3